First-principles (PBE) data for KMnCo2 after structural relaxation, as listed in Alexandria via LeMat-Bulk.

Values from the calculation:
**Formation energy from the elements**: 0.628 eV/atom
**Space group**: P4mm (99)

The structure in POSCAR format:
```
KMnCo2
1.0
3.0336 0.0147 0.0000
-0.0152 3.0336 0.0000
0.0000 0.0000 8.0032
Co K Mn
2 1 1
direct
0.0000 0.0000 0.0207
0.5000 0.5000 0.1545
0.0000 0.0000 0.4767
0.5000 0.5000 0.8481
```

First-principles (PBE) data for K2MnCo after structural relaxation, as listed in Alexandria via LeMat-Bulk.

Values from the calculation:
**Formation energy from the elements**: 1.234 eV/atom
**Space group**: Pmmm (47)

The structure in POSCAR format:
```
K2MnCo
1.0
-0.9446 -2.2719 2.0538
4.1232 -3.2709 -1.7218
3.5465 2.2827 4.1563
Co K Mn
1 2 1
direct
0.5000 0.5000 0.7500
0.0000 0.0000 0.9936
0.0000 0.0000 0.5064
0.5000 0.5000 0.2500
```

| no. | E above lowest polymorph (eV/atom) | uncorrected energy (eV per atom) |
| --- | --- | --- |
| 1 | 0.000 | -5.49 |
| 2 | 0.568 | -3.38 |